# 1
First-principles (meta-GGA SCAN) data for ZnCS2 at its PBEsol-relaxed geometry, as listed in Alexandria.

Formation energy from raw total energies ... 38.7 kcal/mol of atoms
DOS at the Fermi energy ... 5.92 states/eV per cell

Cell: 5.9490 5.9490 5.9490 Å, 90.00 90.00 90.00°
Last column: nearest neighbours and their distance in Å.
Space group Fm-3m (No. 225)
Inequivalent atoms, fractional coordinates:
Zn 0.0000 0.0000 0.0000 (multiplicity 4)  8 S 2.58
C 0.0000 0.0000 0.5000 (multiplicity 4)  8 S 2.58
S 0.2500 0.2500 0.2500 (multiplicity 8)  4 C 2.58, 4 Zn 2.58

# 2
First-principles (meta-GGA SCAN) data for Y2TeP2 at its PBEsol-relaxed geometry, as listed in Alexandria.

Formation energy from raw total energies ... -27.6 kcal/mol of atoms
DOS at the Fermi energy ... 3.30 states/eV per cell

Cell: 3.8206 3.8206 15.1031 Å, 90.00 90.00 90.00°
Last column: nearest neighbours and their distance in Å.
Space group I4/mmm (No. 139)
Inequivalent atoms, fractional coordinates:
Y 0.0000 0.0000 0.1174 (multiplicity 4)  4 P 2.77
Te 0.0000 0.0000 0.5000 (multiplicity 2)  8 Y 3.23
P 0.0000 0.5000 0.2500 (multiplicity 4)  4 P 2.70, 4 Y 2.77

# 3
First-principles (meta-GGA SCAN) data for Sc2Cd at its PBEsol-relaxed geometry, as listed in Alexandria.

Energy relative to the elements ... -0.277 eV per atom
DOS at the Fermi energy ... 43.14 states/eV per cell

Cell: 12.8927 12.8927 12.8927 Å, 90.00 90.00 90.00°
Last column: nearest neighbours and their distance in Å.
Space group Fd-3m (No. 227, origin choice 2)
Inequivalent atoms, fractional coordinates:
Sc 0.0000 0.0000 0.0000 (multiplicity 16)  6 Cd 2.84
Sc 0.0600 0.3750 0.8750 (multiplicity 48)  2 Cd 2.93
Cd 0.0350 0.0350 0.2150 (multiplicity 32)  6 Sc 2.84-2.93

# 4
First-principles (meta-GGA SCAN) data for TlHgRh2 at its PBEsol-relaxed geometry, as listed in Alexandria.

Energy relative to the elements ... 0.245 eV per atom
DOS at the Fermi energy ... 7.08 states/eV per cell

Cell: 8.6951 3.0772 5.2858 Å, 90.00 102.15 90.00°
Last column: nearest neighbours and their distance in Å.
Space group C2/m (No. 12)
Inequivalent atoms, fractional coordinates:
Tl 0.0000 0.0000 0.0000 (multiplicity 2)  6 Rh 2.76-2.79, 4 Hg 3.06, 2 Tl 3.08
Hg 0.0000 0.5000 0.5000 (multiplicity 2)  6 Rh 2.75-2.77, 4 Tl 3.06, 2 Hg 3.08
Rh 0.2485 0.5000 0.2520 (multiplicity 4)  3 Hg 2.75-2.77, 3 Tl 2.76-2.79, 6 Rh 3.04-3.08

# 5
First-principles (meta-GGA SCAN) data for TcP2OsO at its PBEsol-relaxed geometry, as listed in Alexandria.

Formation energy from raw total energies ... 11.5 kcal/mol of atoms
DOS at the Fermi energy ... 2.74 states/eV per cell

Cell: 4.6904 4.6904 3.5927 Å, 90.00 90.00 90.00°
Last column: nearest neighbours and their distance in Å.
Space group P4/mmm (No. 123)
Inequivalent atoms, fractional coordinates:
Tc 0.0000 0.0000 0.0000 (multiplicity 1)  8 P 2.95
P 0.0000 0.5000 0.5000 (multiplicity 2)  2 Os 2.35
Os 0.5000 0.5000 0.5000 (multiplicity 1)  2 O 1.80
O 0.5000 0.5000 0.0000 (multiplicity 1)  2 Os 1.80

# 6
First-principles (meta-GGA SCAN) data for Sc2Se3O12 at its PBEsol-relaxed geometry, as listed in Alexandria.

Formation energy from raw total energies ... -38.7 kcal/mol of atoms
DOS at the Fermi energy ... 0.00 states/eV per cell

Cell: 8.9296 9.2241 15.2370 Å, 90.00 124.79 90.00°
Last column: nearest neighbours and their distance in Å.
Space group P2_1/c (No. 14)
Inequivalent atoms, fractional coordinates:
Sc 0.1315 0.0317 0.3844 (multiplicity 4)  6 O 2.06-2.13
Sc 0.3682 0.0328 0.1168 (multiplicity 4)  6 O 2.05-2.11
Se 0.0407 0.7469 0.5065 (multiplicity 4)  4 O 1.65-1.66
Se 0.2451 0.1228 0.8490 (multiplicity 4)  4 O 1.65-1.66
Se 0.4671 0.6162 0.8568 (multiplicity 4)  4 O 1.65-1.66
O 0.0137 0.6232 0.9238 (multiplicity 4)  1 Se 1.65
O 0.0326 0.6891 0.1056 (multiplicity 4)  1 Se 1.66
O 0.0568 0.0248 0.7764 (multiplicity 4)  1 Se 1.66
O 0.1247 0.1288 0.0662 (multiplicity 4)  1 Se 1.65
O 0.2021 0.2016 0.3255 (multiplicity 4)  1 Se 1.66
O 0.2403 0.6685 0.5572 (multiplicity 4)  1 Se 1.65
O 0.3194 0.0762 0.5452 (multiplicity 4)  1 Se 1.66
O 0.3322 0.6068 0.8990 (multiplicity 4)  1 Se 1.66
O 0.3394 0.0892 0.9768 (multiplicity 4)  1 Se 1.65
O 0.3895 0.0816 0.8181 (multiplicity 4)  1 Se 1.65
O 0.3949 0.0023 0.2595 (multiplicity 4)  1 Se 1.65
O 0.4640 0.7181 0.3145 (multiplicity 4)  1 Se 1.65

Q: DOS at the Fermi energy of number 1 (ZnCS2)?
A: 5.92 states/eV per cell

Q: The highest DOS at the Fermi energy belongs to which entry?
A: Sc2Cd

Q: Among the records above, which one has the lowest DOS at the Fermi energy?
A: Sc2Se3O12

Q: The highest DOS at the Fermi energy belongs to which entry?
A: Sc2Cd